a | HfInRu3 | PBE | optimized geometry

Output
The density is 9.4 Mg/m³. For the density of states at the Fermi level, the calculation gives 5.38 states/eV per cell. Its space group is Pm-3m (221). The value obtained for the total moment is 0.0000 μB per atom.

Unit cell a=4.7317 b=4.7317 c=4.7317 alpha=90.00 beta=90.00 gamma=90.00
Closest atoms and distances in Å follow each position.
Positions (direct):
Hf 0.0000 0.0000 0.0000  12 Ru 3.35
In 0.5000 0.5000 0.5000  6 Ru 2.37
Ru 0.0000 0.5000 0.5000  2 In 2.37
Ru 0.5000 0.0000 0.5000  2 In 2.37
Ru 0.5000 0.5000 0.0000  2 In 2.37

---

b | HfInRu3 | PBE | optimized geometry

Output
The density is 9.1 Mg/m³. For the density of states at the Fermi level, the calculation gives 5.04 states/eV per cell. Its space group is Pm-3m (221). The value obtained for the total moment is 0.5921 μB per atom.

Unit cell a=4.7810 b=4.7810 c=4.7810 alpha=90.00 beta=90.00 gamma=90.00
Closest atoms and distances in Å follow each position.
Positions (direct):
Hf 0.0000 0.0000 0.0000  6 Ru 2.39
In 0.5000 0.5000 0.5000  12 Ru 3.38
Ru 0.0000 0.0000 0.5000  2 Hf 2.39
Ru 0.0000 0.5000 0.0000  2 Hf 2.39
Ru 0.5000 0.0000 0.0000  2 Hf 2.39

---

Of them, the most stable is b and the least stable is a.

---

a | HfIn3S | PBE | optimized geometry

Output
The density is 5.1 Mg/m³. For the density of states at the Fermi level, the calculation gives 7.25 states/eV per cell. Its space group is Pm-3m (221). The value obtained for the total moment is 0.2101 μB per atom.

Unit cell a=5.6451 b=5.6451 c=5.6451 alpha=90.00 beta=90.00 gamma=90.00
Closest atoms and distances in Å follow each position.
Positions (direct):
Hf 0.0000 0.0000 0.0000  6 In 2.82
In 0.0000 0.0000 0.5000  2 Hf 2.82
In 0.0000 0.5000 0.0000  2 Hf 2.82
In 0.5000 0.0000 0.0000  2 Hf 2.82
S 0.5000 0.5000 0.5000  12 In 3.99

---

b | HfIn3S | PBE | optimized geometry

Output
The density is 6.8 Mg/m³. For the density of states at the Fermi level, the calculation gives 5.88 states/eV per cell. Its space group is Pm-3m (221). The value obtained for the total moment is 0.0000 μB per atom.

Unit cell a=5.1280 b=5.1280 c=5.1280 alpha=90.00 beta=90.00 gamma=90.00
Closest atoms and distances in Å follow each position.
Positions (direct):
Hf 0.0000 0.0000 0.0000  12 In 3.63
In 0.0000 0.5000 0.5000  2 S 2.56
In 0.5000 0.0000 0.5000  2 S 2.56
In 0.5000 0.5000 0.0000  2 S 2.56
S 0.5000 0.5000 0.5000  6 In 2.56

---

Of them, the most stable is b and the least stable is a.

---

a | HfIn2S2 | PBE | optimized geometry

Output
The density is 6.6 Mg/m³. For the density of states at the Fermi level, the calculation gives 6.45 states/eV per cell. Its space group is I4/mmm (139). The value obtained for the total moment is 0.1315 μB per atom.

Unit cell a=5.3008 b=5.3008 c=8.4062 alpha=90.00 beta=90.00 gamma=90.00
Closest atoms and distances in Å follow each position.
Positions (direct):
Hf 0.0000 0.0000 0.0000  2 In 2.87
Hf 0.5000 0.5000 0.5000  2 In 2.87
In 0.0000 0.0000 0.3417  1 In 2.66, 4 S 2.76, 1 Hf 2.87
In 0.0000 0.0000 0.6583  1 In 2.66, 4 S 2.76, 1 Hf 2.87
In 0.5000 0.5000 0.1583  1 In 2.66, 4 S 2.76, 1 Hf 2.87
In 0.5000 0.5000 0.8417  1 In 2.66, 4 S 2.76, 1 Hf 2.87
S 0.0000 0.5000 0.2500  4 In 2.76
S 0.0000 0.5000 0.7500  4 In 2.76
S 0.5000 0.0000 0.2500  4 In 2.76
S 0.5000 0.0000 0.7500  4 In 2.76

---

b | HfIn2S2 | PBE | optimized geometry

Output
The density is 7.1 Mg/m³. For the density of states at the Fermi level, the calculation gives 3.05 states/eV per cell. Its space group is P4/mbm (127). The value obtained for the total moment is 0.0000 μB per atom.

Unit cell a=7.7049 b=7.7049 c=3.7470 alpha=90.00 beta=90.00 gamma=90.00
Closest atoms and distances in Å follow each position.
Positions (direct):
Hf 0.0000 0.0000 0.0000  4 In 3.03, 8 S 3.35
Hf 0.5000 0.5000 0.0000  4 In 3.03, 8 S 3.35
In 0.1287 0.3713 0.0000  2 S 2.66, 1 In 2.80
In 0.3713 0.8713 0.0000  2 S 2.66, 1 In 2.80
In 0.6287 0.1287 0.0000  2 S 2.66, 1 In 2.80
In 0.8713 0.6287 0.0000  2 S 2.66, 1 In 2.80
S 0.1983 0.6983 0.5000  2 In 2.66
S 0.3017 0.1983 0.5000  2 In 2.66
S 0.6983 0.8017 0.5000  2 In 2.66
S 0.8017 0.3017 0.5000  2 In 2.66

---

Of them, the most stable is b and the least stable is a.

---

a | Hf2In2Sb | PBE | optimized geometry

Output
The density is 9.7 Mg/m³. For the density of states at the Fermi level, the calculation gives 6.10 states/eV per cell. Its space group is P4/mbm (127). The value obtained for the total moment is 0.0000 μB per atom.

Unit cell a=8.6758 b=8.6758 c=3.2139 alpha=90.00 beta=90.00 gamma=90.00
Closest atoms and distances in Å follow each position.
Positions (direct):
Hf 0.1756 0.3244 0.0000  6 In 2.96-3.08, 2 Hf 3.21
Hf 0.3244 0.8244 0.0000  6 In 2.96-3.08, 2 Hf 3.21
Hf 0.6756 0.1756 0.0000  6 In 2.96-3.08, 2 Hf 3.21
Hf 0.8244 0.6756 0.0000  6 In 2.96-3.08, 2 Hf 3.21
In 0.1222 0.6222 0.5000  6 Hf 2.96-3.08, 3 In 3.00-3.21
In 0.3778 0.1222 0.5000  6 Hf 2.96-3.08, 3 In 3.00-3.21
In 0.6222 0.8778 0.5000  6 Hf 2.96-3.08, 3 In 3.00-3.21
In 0.8778 0.3778 0.5000  6 Hf 2.96-3.08, 3 In 3.00-3.21
Sb 0.0000 0.0000 0.5000  2 Sb 3.21, 4 In 3.44, 8 Hf 3.58
Sb 0.5000 0.5000 0.5000  2 Sb 3.21, 4 In 3.44, 8 Hf 3.58

---

b | Hf2In2Sb | PBE | optimized geometry

Output
The density is 9.7 Mg/m³. For the density of states at the Fermi level, the calculation gives 3.47 states/eV per cell. Its space group is P4/mbm (127). The value obtained for the total moment is 0.0000 μB per atom.

Unit cell a=7.3711 b=7.3711 c=4.4524 alpha=90.00 beta=90.00 gamma=90.00
Closest atoms and distances in Å follow each position.
Positions (direct):
Hf 0.1521 0.3479 0.0000  2 Sb 2.80, 2 In 3.02
Hf 0.3479 0.8479 0.0000  2 Sb 2.80, 2 In 3.02
Hf 0.6521 0.1521 0.0000  2 Sb 2.80, 2 In 3.02
Hf 0.8479 0.6521 0.0000  2 Sb 2.80, 2 In 3.02
In 0.1516 0.6516 0.5000  6 Hf 3.02-3.16, 1 In 3.16
In 0.3484 0.1516 0.5000  6 Hf 3.02-3.16, 1 In 3.16
In 0.6516 0.8484 0.5000  6 Hf 3.02-3.16, 1 In 3.16
In 0.8484 0.3484 0.5000  6 Hf 3.02-3.16, 1 In 3.16
Sb 0.0000 0.0000 0.0000  4 Hf 2.80
Sb 0.5000 0.5000 0.0000  4 Hf 2.80

---

Of them, the most stable is b and the least stable is a.

---

a | Hf2InSb2 | PBE | optimized geometry

Output
The density is 9.7 Mg/m³. For the density of states at the Fermi level, the calculation gives 8.03 states/eV per cell. Its space group is P4/mbm (127). The value obtained for the total moment is 0.0000 μB per atom.

Unit cell a=8.1853 b=8.1853 c=3.6389 alpha=90.00 beta=90.00 gamma=90.00
Closest atoms and distances in Å follow each position.
Positions (direct):
Hf 0.1371 0.3629 0.0000  6 Sb 2.98-3.05, 1 Hf 3.17
Hf 0.3629 0.8629 0.0000  6 Sb 2.98-3.05, 1 Hf 3.17
Hf 0.6371 0.1371 0.0000  6 Sb 2.98-3.05, 1 Hf 3.17
Hf 0.8629 0.6371 0.0000  6 Sb 2.98-3.05, 1 Hf 3.17
In 0.0000 0.0000 0.5000  4 Sb 3.11
In 0.5000 0.5000 0.5000  4 Sb 3.11
Sb 0.1511 0.6511 0.5000  6 Hf 2.98-3.05, 2 In 3.11
Sb 0.3489 0.1511 0.5000  6 Hf 2.98-3.05, 2 In 3.11
Sb 0.6511 0.8489 0.5000  6 Hf 2.98-3.05, 2 In 3.11
Sb 0.8489 0.3489 0.5000  6 Hf 2.98-3.05, 2 In 3.11

---

b | Hf2InSb2 | PBE | optimized geometry

Output
The density is 10.0 Mg/m³. For the density of states at the Fermi level, the calculation gives 4.62 states/eV per cell. Its space group is P4/mbm (127). The value obtained for the total moment is 0.0000 μB per atom.

Unit cell a=7.8790 b=7.8790 c=3.8235 alpha=90.00 beta=90.00 gamma=90.00
Closest atoms and distances in Å follow each position.
Positions (direct):
Hf 0.1438 0.3562 0.0000  6 Sb 2.97-3.01, 2 In 3.03, 1 Hf 3.20
Hf 0.3562 0.8562 0.0000  6 Sb 2.97-3.01, 2 In 3.03, 1 Hf 3.20
Hf 0.6438 0.1438 0.0000  6 Sb 2.97-3.01, 2 In 3.03, 1 Hf 3.20
Hf 0.8562 0.6438 0.0000  6 Sb 2.97-3.01, 2 In 3.03, 1 Hf 3.20
In 0.0000 0.0000 0.0000  4 Hf 3.03
In 0.5000 0.5000 0.0000  4 Hf 3.03
Sb 0.1517 0.6517 0.5000  6 Hf 2.97-3.01
Sb 0.3483 0.1517 0.5000  6 Hf 2.97-3.01
Sb 0.6517 0.8483 0.5000  6 Hf 2.97-3.01
Sb 0.8483 0.3483 0.5000  6 Hf 2.97-3.01

---

Of them, the most stable is b and the least stable is a.